1.
{"formula": "Rb2PRhBr", "functional": "PBE", "state": "relaxed", "formation_energy_uncorrected_ev_per_atom": -0.5316, "space_group": "P4/mmm", "lattice": [[6.446, 0.000, 0.000], [0.000, 6.446, 0.000], [0.000, 0.000, 4.373]], "species": ["Rb", "Rb", "P", "Rh", "Br"], "fractional_positions": [[0.000, 0.500, 0.000], [0.500, 0.000, 0.000], [0.000, 0.000, 0.500], [0.000, 0.000, 0.000], [0.500, 0.500, 0.500]]}

=====

2.
{"formula": "Pm14HoSc", "functional": "PBE", "state": "relaxed", "space_group": "P4/mmm", "formation_enthalpy_0k_ev_per_atom": 0.023, "lattice": [[7.247, 0.000, 0.000], [0.000, 7.247, 0.000], [0.000, 0.000, 10.211]], "species": ["Pm", "Pm", "Pm", "Pm", "Pm", "Pm", "Pm", "Pm", "Pm", "Pm", "Pm", "Pm", "Pm", "Pm", "Ho", "Sc"], "fractional_positions": [[0.000, 0.000, 0.000], [0.000, 0.500, 0.000], [0.000, 0.500, 0.500], [0.248, 0.248, 0.254], [0.248, 0.248, 0.746], [0.248, 0.752, 0.254], [0.248, 0.752, 0.746], [0.500, 0.000, 0.000], [0.500, 0.000, 0.500], [0.500, 0.500, 0.000], [0.752, 0.248, 0.254], [0.752, 0.248, 0.746], [0.752, 0.752, 0.254], [0.752, 0.752, 0.746], [0.500, 0.500, 0.500], [0.000, 0.000, 0.500]]}

=====

3.
{"formula": "CdPbCl2", "functional": "PBE", "state": "relaxed", "formation_energy_uncorrected_ev_per_atom": -0.5870, "space_group": "I-42d", "de_polymorph_mev_per_atom": 112.7, "lattice": [[-4.244, 4.244, 5.449], [4.244, -4.244, 5.449], [4.244, 4.244, -5.449]], "species": ["Cd", "Cd", "Pb", "Pb", "Cl", "Cl", "Cl", "Cl"], "fractional_positions": [[0.000, 0.000, 0.000], [0.750, 0.250, 0.500], [0.250, 0.750, 0.500], [0.500, 0.500, 0.000], [0.236, 0.625, 0.111], [0.375, 0.486, 0.611], [0.514, 0.125, 0.889], [0.875, 0.764, 0.389]]}

=====

4.
{"formula": "Sm2Al5Ni2Pd", "functional": "PBE", "state": "relaxed", "space_group": "P4/mbm", "formation_enthalpy_0k_ev_per_atom": -0.562, "lattice": [[9.470, 0.000, 0.000], [0.000, 9.470, 0.000], [0.000, 0.000, 3.942]], "species": ["Sm", "Sm", "Sm", "Sm", "Al", "Al", "Al", "Al", "Al", "Al", "Al", "Al", "Al", "Al", "Ni", "Ni", "Ni", "Ni", "Pd", "Pd"], "fractional_positions": [[0.184, 0.316, 0.000], [0.316, 0.816, 0.000], [0.684, 0.184, 0.000], [0.816, 0.684, 0.000], [0.000, 0.500, 0.500], [0.056, 0.794, 0.500], [0.206, 0.056, 0.500], [0.294, 0.556, 0.500], [0.444, 0.294, 0.500], [0.500, 0.000, 0.500], [0.556, 0.706, 0.500], [0.706, 0.444, 0.500], [0.794, 0.944, 0.500], [0.944, 0.206, 0.500], [0.110, 0.610, 0.000], [0.390, 0.110, 0.000], [0.610, 0.890, 0.000], [0.890, 0.390, 0.000], [0.000, 0.000, 0.000], [0.500, 0.500, 0.000]]}

=====

5.
{"formula": "RbMo2H", "functional": "PBE", "state": "relaxed", "space_group": "Fm-3m", "de_polymorph_mev_per_atom": 1488.3, "lattice": [[0.000, 3.185, 3.185], [3.185, 0.000, 3.185], [3.185, 3.185, 0.000]], "species": ["Rb", "Mo", "Mo", "H"], "fractional_positions": [[0.000, 0.000, 0.000], [0.250, 0.250, 0.250], [0.750, 0.750, 0.750], [0.500, 0.500, 0.500]]}

=====

6.
{"formula": "TcSbH", "functional": "PBE", "state": "relaxed", "space_group": "C2/m", "de_polymorph_mev_per_atom": 103.3, "lattice": [[4.618, -1.594, 0.000], [4.618, 1.594, 0.000], [-0.651, 0.000, 6.315]], "species": ["Tc", "Tc", "Sb", "Sb", "H", "H"], "fractional_positions": [[0.140, 0.140, 0.373], [0.860, 0.860, 0.627], [0.406, 0.406, 0.269], [0.594, 0.594, 0.731], [0.117, 0.117, 0.109], [0.883, 0.883, 0.891]]}

=====

7.
{"formula": "CaNd4As5", "functional": "PBE", "state": "relaxed", "space_group": "Immm", "formation_enthalpy_0k_ev_per_atom": -1.383, "lattice": [[-2.135, 3.020, 10.696], [2.135, -3.020, 10.696], [2.135, 3.020, -10.696]], "species": ["Ca", "Nd", "Nd", "Nd", "Nd", "As", "As", "As", "As", "As"], "fractional_positions": [[0.000, 0.000, 0.000], [0.199, 0.199, 0.000], [0.401, 0.401, 0.000], [0.599, 0.599, 0.000], [0.801, 0.801, 0.000], [0.102, 0.602, 0.500], [0.301, 0.801, 0.500], [0.500, 0.000, 0.500], [0.699, 0.199, 0.500], [0.898, 0.398, 0.500]]}

=====

8.
{"formula": "Pm2HoGe3", "functional": "PBE", "state": "relaxed", "space_group": "Immm", "formation_enthalpy_0k_ev_per_atom": -0.655, "lattice": [[-2.130, 2.980, 6.265], [2.130, -2.980, 6.265], [2.130, 2.980, -6.265]], "species": ["Pm", "Pm", "Ho", "Ge", "Ge", "Ge"], "fractional_positions": [[0.169, 0.169, 0.000], [0.831, 0.831, 0.000], [0.500, 0.500, 0.000], [0.000, 0.500, 0.500], [0.339, 0.839, 0.500], [0.661, 0.161, 0.500]]}

=====

9.
{"formula": "Cd4PtAu2", "functional": "PBE", "state": "relaxed", "space_group": "C2/m", "formation_enthalpy_0k_ev_per_atom": -0.218, "de_polymorph_mev_per_atom": 0.0, "lattice": [[4.051, -2.361, 0.000], [4.051, 2.361, 0.000], [-2.645, 0.000, 7.555]], "species": ["Cd", "Cd", "Cd", "Cd", "Pt", "Au", "Au"], "fractional_positions": [[0.121, 0.121, 0.369], [0.369, 0.369, 0.120], [0.631, 0.631, 0.880], [0.879, 0.879, 0.631], [0.500, 0.500, 0.500], [0.255, 0.255, 0.751], [0.745, 0.745, 0.249]]}

=====

10.
{"formula": "AcPr3Tm7", "functional": "PBE", "state": "relaxed", "space_group": "P3m1", "formation_enthalpy_0k_ev_per_atom": 0.202, "lattice": [[7.088, 0.000, 0.000], [-3.544, 6.139, 0.000], [0.000, 0.000, 8.789]], "species": ["Ac", "Pr", "Pr", "Pr", "Tm", "Tm", "Tm", "Tm", "Tm", "Tm", "Tm"], "fractional_positions": [[0.000, 0.000, 0.000], [0.168, 0.335, 0.344], [0.168, 0.832, 0.344], [0.665, 0.832, 0.344], [0.002, 0.501, 0.999], [0.333, 0.667, 0.681], [0.336, 0.168, 0.675], [0.499, 0.501, 0.999], [0.499, 0.998, 0.999], [0.832, 0.168, 0.675], [0.832, 0.664, 0.675]]}

=====

11.
{"formula": "AcGe2PdRh", "functional": "PBE", "state": "relaxed", "space_group": "I-4m2", "formation_enthalpy_0k_ev_per_atom": -0.791, "lattice": [[-2.216, 2.216, 5.214], [2.216, -2.216, 5.214], [2.216, 2.216, -5.214]], "species": ["Ac", "Ge", "Ge", "Pd", "Rh"], "fractional_positions": [[0.000, 0.000, 0.000], [0.368, 0.368, 0.000], [0.632, 0.632, 0.000], [0.250, 0.750, 0.500], [0.750, 0.250, 0.500]]}

=====

12.
{"formula": "Ac3GeI3", "functional": "PBE", "state": "relaxed", "formation_energy_uncorrected_ev_per_atom": -1.2239, "space_group": "I4_132", "de_polymorph_mev_per_atom": 0.0, "lattice": [[-6.604, 6.604, 6.604], [6.604, -6.604, 6.604], [6.604, 6.604, -6.604]], "species": ["Ac", "Ac", "Ac", "Ac", "Ac", "Ac", "Ac", "Ac", "Ac", "Ac", "Ac", "Ac", "Ge", "Ge", "Ge", "Ge", "I", "I", "I", "I", "I", "I", "I", "I", "I", "I", "I", "I"], "fractional_positions": [[0.015, 0.029, 0.265], [0.015, 0.485, 0.750], [0.029, 0.265, 0.015], [0.235, 0.265, 0.750], [0.235, 0.471, 0.485], [0.265, 0.015, 0.029], [0.265, 0.750, 0.235], [0.471, 0.485, 0.235], [0.485, 0.235, 0.471], [0.485, 0.750, 0.015], [0.750, 0.015, 0.485], [0.750, 0.235, 0.265], [0.000, 0.250, 0.500], [0.250, 0.250, 0.250], [0.250, 0.500, 0.000], [0.500, 0.000, 0.250], [0.250, 0.758, 0.742], [0.250, 0.992, 0.508], [0.508, 0.250, 0.992], [0.508, 0.758, 0.516], [0.516, 0.508, 0.758], [0.742, 0.250, 0.758], [0.742, 0.992, 0.984], [0.758, 0.516, 0.508], [0.758, 0.742, 0.250], [0.984, 0.742, 0.992], [0.992, 0.508, 0.250], [0.992, 0.984, 0.742]]}

=====

13.
{"formula": "Ba2ScTl", "functional": "PBE", "state": "relaxed", "space_group": "Fm-3m", "formation_enthalpy_0k_ev_per_atom": 0.090, "de_polymorph_mev_per_atom": 140.9, "lattice": [[0.000, 4.269, 4.269], [4.269, 0.000, 4.269], [4.269, 4.269, 0.000]], "species": ["Ba", "Ba", "Sc", "Tl"], "fractional_positions": [[0.250, 0.250, 0.250], [0.750, 0.750, 0.750], [0.000, 0.000, 0.000], [0.500, 0.500, 0.500]]}

=====

14.
{"formula": "Tb3GaTe2", "functional": "PBE", "state": "relaxed", "formation_energy_uncorrected_ev_per_atom": -1.0006, "space_group": "Cmmm", "de_polymorph_mev_per_atom": 120.3, "lattice": [[3.032, -7.121, 0.000], [3.032, 7.121, 0.000], [0.000, 0.000, 4.532]], "species": ["Tb", "Tb", "Tb", "Ga", "Te", "Te"], "fractional_positions": [[0.000, 0.000, 0.000], [0.372, 0.628, 0.500], [0.628, 0.372, 0.500], [0.500, 0.500, 0.000], [0.152, 0.848, 0.500], [0.848, 0.152, 0.500]]}

=====

15.
{"formula": "ZrPt", "functional": "PBE", "state": "relaxed", "space_group": "P2_1/m", "formation_enthalpy_0k_ev_per_atom": -1.094, "lattice": [[3.457, 0.000, 0.000], [0.000, 4.321, 0.000], [-1.736, 0.000, 5.208]], "species": ["Zr", "Zr", "Pt", "Pt"], "fractional_positions": [[0.143, 0.250, 0.283], [0.857, 0.750, 0.717], [0.408, 0.250, 0.817], [0.592, 0.750, 0.183]]}

=====

16.
{"formula": "Cs2SnAsSe4", "functional": "PBE", "state": "relaxed", "formation_energy_uncorrected_ev_per_atom": -0.6053, "space_group": "Fddd", "lattice": [[0.000, 7.639, 12.514], [3.351, 0.000, 12.514], [3.351, 7.639, 0.000]], "species": ["Cs", "Cs", "Cs", "Cs", "Sn", "Sn", "As", "As", "Se", "Se", "Se", "Se", "Se", "Se", "Se", "Se"], "fractional_positions": [[0.056, 0.056, 0.694], [0.306, 0.306, 0.944], [0.694, 0.694, 0.056], [0.944, 0.944, 0.306], [0.375, 0.375, 0.375], [0.625, 0.625, 0.625], [0.125, 0.125, 0.125], [0.875, 0.875, 0.875], [0.049, 0.316, 0.401], [0.265, 0.599, 0.684], [0.316, 0.049, 0.735], [0.401, 0.735, 0.049], [0.599, 0.265, 0.951], [0.684, 0.951, 0.265], [0.735, 0.401, 0.316], [0.951, 0.684, 0.599]]}

=====

17.
{"formula": "Cs12Ba3Cl5", "functional": "PBE", "state": "relaxed", "formation_energy_uncorrected_ev_per_atom": -0.7439, "space_group": "Ia-3d", "lattice": [[-11.735, 11.735, 11.735], [11.735, -11.735, 11.735], [11.735, 11.735, -11.735]], "species": ["Cs", "Cs", "Cs", "Cs", "Cs", "Cs", "Cs", "Cs", "Cs", "Cs", "Cs", "Cs", "Cs", "Cs", "Cs", "Cs", "Cs", "Cs", "Cs", "Cs", "Cs", "Cs", "Cs", "Cs", "Cs", "Cs", "Cs", "Cs", "Cs", "Cs", "Cs", "Cs", "Cs", "Cs", "Cs", "Cs", "Cs", "Cs", "Cs", "Cs", "Cs", "Cs", "Cs", "Cs", "Cs", "Cs", "Cs", "Cs", "Ba", "Ba", "Ba", "Ba", "Ba", "Ba", "Ba", "Ba", "Ba", "Ba", "Ba", "Ba", "Cl", "Cl", "Cl", "Cl", "Cl", "Cl", "Cl", "Cl", "Cl", "Cl", "Cl", "Cl", "Cl", "Cl", "Cl", "Cl", "Cl", "Cl", "Cl", "Cl"], "fractional_positions": [[0.002, 0.685, 0.099], [0.002, 0.817, 0.903], [0.087, 0.683, 0.685], [0.087, 0.903, 0.401], [0.097, 0.599, 0.913], [0.097, 0.998, 0.183], [0.099, 0.002, 0.685], [0.099, 0.597, 0.413], [0.183, 0.097, 0.998], [0.183, 0.587, 0.185], [0.185, 0.183, 0.587], [0.185, 0.502, 0.599], [0.315, 0.901, 0.998], [0.315, 0.913, 0.317], [0.317, 0.315, 0.913], [0.317, 0.502, 0.403], [0.401, 0.087, 0.903], [0.401, 0.815, 0.498], [0.403, 0.317, 0.502], [0.403, 0.587, 0.901], [0.413, 0.099, 0.597], [0.413, 0.815, 0.817], [0.498, 0.401, 0.815], [0.498, 0.597, 0.683], [0.502, 0.403, 0.317], [0.502, 0.599, 0.185], [0.587, 0.185, 0.183], [0.587, 0.901, 0.403], [0.597, 0.413, 0.099], [0.597, 0.683, 0.498], [0.599, 0.185, 0.502], [0.599, 0.913, 0.097], [0.683, 0.498, 0.597], [0.683, 0.685, 0.087], [0.685, 0.087, 0.683], [0.685, 0.099, 0.002], [0.815, 0.498, 0.401], [0.815, 0.817, 0.413], [0.817, 0.413, 0.815], [0.817, 0.903, 0.002], [0.901, 0.403, 0.587], [0.901, 0.998, 0.315], [0.903, 0.002, 0.817], [0.903, 0.401, 0.087], [0.913, 0.097, 0.599], [0.913, 0.317, 0.315], [0.998, 0.183, 0.097], [0.998, 0.315, 0.901], [0.125, 0.250, 0.375], [0.125, 0.375, 0.750], [0.250, 0.375, 0.125], [0.250, 0.875, 0.625], [0.375, 0.125, 0.250], [0.375, 0.750, 0.125], [0.625, 0.250, 0.875], [0.625, 0.875, 0.750], [0.750, 0.125, 0.375], [0.750, 0.625, 0.875], [0.875, 0.625, 0.250], [0.875, 0.750, 0.625], [0.000, 0.000, 0.000], [0.000, 0.000, 0.500], [0.000, 0.500, 0.000], [0.000, 0.500, 0.500], [0.125, 0.750, 0.875], [0.125, 0.875, 0.250], [0.250, 0.125, 0.875], [0.250, 0.625, 0.375], [0.375, 0.250, 0.625], [0.375, 0.625, 0.750], [0.500, 0.000, 0.000], [0.500, 0.000, 0.500], [0.500, 0.500, 0.000], [0.500, 0.500, 0.500], [0.625, 0.375, 0.250], [0.625, 0.750, 0.375], [0.750, 0.375, 0.625], [0.750, 0.875, 0.125], [0.875, 0.125, 0.750], [0.875, 0.250, 0.125]]}

=====

18.
{"formula": "Ac2SeS2", "functional": "PBE", "state": "relaxed", "formation_energy_uncorrected_ev_per_atom": -1.9802, "space_group": "C2/c", "de_polymorph_mev_per_atom": 167.4, "lattice": [[5.233, -5.461, 0.000], [5.233, 5.461, 0.000], [-5.171, 0.000, 5.948]], "species": ["Ac", "Ac", "Ac", "Ac", "Se", "Se", "S", "S", "S", "S"], "fractional_positions": [[0.095, 0.905, 0.750], [0.345, 0.655, 0.250], [0.655, 0.345, 0.750], [0.905, 0.095, 0.250], [0.375, 0.625, 0.750], [0.625, 0.375, 0.250], [0.023, 0.272, 0.042], [0.272, 0.023, 0.542], [0.728, 0.977, 0.458], [0.977, 0.728, 0.958]]}

=====

19.
{"formula": "Ru2IBr", "functional": "PBE", "state": "relaxed", "formation_energy_uncorrected_ev_per_atom": 0.3376, "space_group": "P1", "de_polymorph_mev_per_atom": 119.5, "lattice": [[3.784, 0.000, 0.000], [-0.017, 6.954, 0.000], [-1.265, -2.636, 9.059]], "species": ["Ru", "Ru", "Ru", "Ru", "I", "I", "Br", "Br"], "fractional_positions": [[0.000, 0.000, 0.000], [0.002, 0.503, 0.000], [0.434, 0.266, 0.038], [0.938, 0.331, 0.210], [0.124, 0.833, 0.215], [0.534, 0.415, 0.430], [0.225, 0.687, 0.827], [0.769, 0.175, 0.799]]}

=====

Number 1: M_tot 0.000 μB/f.u.. Number 2: M_tot 0.000 μB/f.u.. Number 3: M_tot 0.000 μB/f.u.. Number 4: M_tot 0.000 μB/f.u.. Number 5: M_tot 0.000 μB/f.u.. Number 6: M_tot 0.000 μB/f.u.. Number 7: M_tot 0.000 μB/f.u.. Number 8: M_tot 0.000 μB/f.u.. Number 9: M_tot 0.000 μB/f.u.. Number 10: M_tot 0.000 μB/f.u.. Number 11: M_tot 0.000 μB/f.u.. Number 12: M_tot 0.000 μB/f.u.. Number 13: M_tot 0.000 μB/f.u.. Number 14: M_tot 0.000 μB/f.u.. Number 15: M_tot 0.000 μB/f.u.. Number 16: M_tot 0.000 μB/f.u.. Number 17: M_tot 3.767 μB/f.u.. Number 18: M_tot 0.000 μB/f.u.. Number 19: M_tot 0.000 μB/f.u..